The following is a DFT calculation (GGA-PBE) of a geometry-optimized Cr2AgPt structure.

As for the total magnetization: 0.14 μB per atom. The formation energy is 0.15 eV per atom. As for the calculated volume: 60 Å³/f.u.

Unit cell a=2.9690 b=2.9690 c=6.7615 alpha=90.00 beta=90.00 gamma=90.00
Closest atoms and distances in Å follow each position.
Atoms (fractional coordinates):
Ag  0.5000  0.5000  0.7634  5 Cr 2.82-3.11, 4 Pt 2.88, 4 Ag 2.97
Cr  0.0000  0.0000  0.0421  4 Cr 2.43
Cr  0.5000  0.5000  0.2233  4 Cr 2.43, 4 Pt 2.69
Pt  0.0000  0.0000  0.4712  5 Cr 2.69-2.90, 4 Ag 2.88, 4 Pt 2.97